[1]
CsMgAs2Cl | PBE-GGA | optimized geometry

Results
The volume comes out at 32.657 Å³/atom. For the formation energy (no corrections), the calculation gives 406 meV per atom. The spin magnetization comes out at 0.0 μB/cell.

a = 5.233 Å, b = 5.233 Å, c = 5.962 Å
α = 90.00°, β = 90.00°, γ = 90.00°
Space group P4/mmm (No. 123)
One atom of each set of equivalent atoms:
Cs 0.000 0.000 0.000
Mg 0.500 0.500 0.000
As 0.000 0.500 0.500
Cl 0.000 0.000 0.500

---

[2]
NdDyMgGa | PBE-GGA | optimized geometry

Results
The volume comes out at 25.577 Å³/atom. The spin magnetization comes out at 0.0 μB/cell. The value obtained for the distance to the lowest polymorph of the same formula is 0 meV/atom. Its formation energy is -0.336 eV per atom.

a = 7.424 Å, b = 7.424 Å, c = 7.424 Å
α = 90.00°, β = 90.00°, γ = 90.00°
Space group F-43m (No. 216)
One atom of each set of equivalent atoms:
Nd 0.000 0.000 0.000
Dy 0.000 0.000 0.500
Mg 0.250 0.250 0.250
Ga 0.250 0.250 0.750

---

no.,DFT total energy (eV/f.u.)
1,-11.56
2,-15.34